[1]
First-principles (GGA-PBE) data for a relaxed Li2LaCdAg crystal, as listed in Alexandria via LeMat-Bulk.

a = 3.974 Å, b = 4.550 Å, c = 7.060 Å
α = 108.80°, β = 106.35°, γ = 90.00°
Atoms (fractional coordinates):
Li  0.706  0.206  0.411
Li  0.053  0.053  0.106
Cd  0.175  0.675  0.349
Ag  0.842  0.842  0.683
La  0.438  0.438  0.875

Summary:
M_tot (μB per atom): 0.000
Energy relative to the elements (meV per atom): -162
ρ (g cm⁻³): 5.37
Space group: Imm2 (44)

[2]
First-principles (GGA-PBE) data for a relaxed LiLaCd4Ag2 crystal, as listed in Alexandria via LeMat-Bulk.

a = 4.851 Å, b = 4.851 Å, c = 9.196 Å
α = 74.71°, β = 74.71°, γ = 60.00°
Atoms (fractional coordinates):
Ag  0.244  0.244  0.268
Ag  0.756  0.756  0.732
Cd  0.396  0.396  0.813
Cd  0.131  0.131  0.608
Cd  0.604  0.604  0.187
Cd  0.869  0.869  0.392
Li  0.500  0.500  0.500
La  0.000  0.000  0.000

Summary:
M_tot (μB per atom): 0.000
Energy relative to the elements (meV per atom): -206
ρ (g cm⁻³): 7.55
Space group: R-3m (166)

[3]
First-principles (GGA-PBE) data for a relaxed LiLaCd2Ag2 crystal, as listed in Alexandria via LeMat-Bulk.

a = 5.424 Å, b = 5.424 Å, c = 6.661 Å
α = 114.03°, β = 114.03°, γ = 90.00°
Atoms (fractional coordinates):
Cd  0.750  0.250  0.500
Cd  0.250  0.750  0.500
Ag  0.220  0.220  0.439
Ag  0.780  0.780  0.561
La  0.500  0.500  0.000
Li  0.000  0.000  0.000

Summary:
M_tot (μB per atom): 0.000
Energy relative to the elements (meV per atom): 98
ρ (g cm⁻³): 6.08
Space group: I4/mmm (139)